Record 1
The following is a DFT calculation (PBE-GGA) of a geometry-optimized K4Tb3SmSe8 structure.

Energy relative to the elements, uncorrected ... -1.7645 eV/atom
Total DFT energy (no corrections) ... -4.944 eV/atom
SG ... R-3m, No. 166

a = 8.4964 Å, b = 9.1215 Å, c = 8.4965 Å
α = 117.76°, β = 120.00°, γ = 90.00°
Fractional positions:
K: 0.5000 0.0000 0.0000
K: 0.5000 0.0000 0.5000
K: 0.0000 0.0000 0.0000
K: 0.0000 0.0000 0.5000
Tb: 0.5000 0.5000 0.0000
Tb: 0.5000 0.5000 0.5000
Tb: 0.0000 0.5000 0.5000
Sm: 0.0000 0.5000 0.0000
Se: 0.2374 0.7069 0.9695
Se: 0.2374 0.7069 0.4749
Se: 0.2649 0.2946 0.5297
Se: 0.7321 0.7069 0.9695
Se: 0.2679 0.2931 0.0305
Se: 0.7351 0.7054 0.4703
Se: 0.7626 0.2931 0.5251
Se: 0.7626 0.2931 0.0305

***

Record 2
The following is a DFT calculation (PBE-GGA) of a geometry-optimized ZrMn2Cu structure.

Total DFT energy (no corrections) ... -7.237 eV/atom
SG ... I-42d, No. 122

a = 3.7350 Å, b = 3.7350 Å, c = 9.2565 Å
α = 78.36°, β = 78.36°, γ = 90.00°
Site moments in Bohr magnetons follow the coordinates.
Fractional positions:
Mn: 0.5336 0.1250 0.2500  1.05
Mn: 0.2164 0.6250 0.2500  1.06
Mn: 0.3750 0.4664 0.7500  1.01
Mn: 0.8750 0.7836 0.7500  1.01
Cu: 0.5000 0.5000 0.0000  0.03
Cu: 0.2500 0.7500 0.5000  0.03
Zr: 0.0000 0.0000 0.0000  -0.01
Zr: 0.7500 0.2500 0.5000  -0.01

***

Record 3
The following is a DFT calculation (PBE-GGA) of a geometry-optimized Tl2WAu structure.

Total DFT energy (no corrections) ... -4.540 eV/atom
SG ... Imm2, No. 44

a = 6.8661 Å, b = 6.8661 Å, c = 6.8661 Å
α = 154.99°, β = 137.80°, γ = 49.68°
Site moments in Bohr magnetons follow the coordinates.
Fractional positions:
Au: 0.3057 0.8057 0.5000  0.03
Tl: 0.9948 0.9948 0.0000  -0.01
Tl: 0.7044 0.2044 0.5000  0.02
W: 0.4950 0.4950 0.0000  0.56

***

Record 4
The following is a DFT calculation (PBE-GGA) of a geometry-optimized ZrGeP2S structure.

Energy relative to the elements, uncorrected ... 0.3891 eV/atom
Total DFT energy (no corrections) ... -5.233 eV/atom
SG ... P4/mmm, No. 123

a = 4.6030 Å, b = 4.6030 Å, c = 4.6790 Å
α = 90.00°, β = 90.00°, γ = 90.00°
Fractional positions:
P: 0.0000 0.5000 0.0000
P: 0.5000 0.0000 0.0000
Ge: 0.0000 0.0000 0.0000
S: 0.0000 0.0000 0.5000
Zr: 0.5000 0.5000 0.5000